## A
NaCaTl: optimized geometry, GGA-PBE.

Values from the calculation:
Total magnetic moment   0.0 μB per formula unit
Mass density   4.8 g/cm³

Unit cell a=4.1047 b=4.1047 c=6.1690 alpha=109.43 beta=109.43 gamma=90.00
Last column: nearest neighbours and their distance in Å.
Positions (direct):
Tl 0.2794 0.2794 0.5588  4 Na 3.33, 5 Ca 3.39-3.69
Na 0.6302 0.6302 0.2604  4 Tl 3.33, 5 Ca 3.38-3.56
Ca 0.9404 0.9404 0.8808  5 Na 3.38-3.56, 5 Tl 3.39-3.69

=====

## B
NaCaTl: optimized geometry, GGA-PBE.

Values from the calculation:
Total magnetic moment   0.0 μB per formula unit
Mass density   4.4 g/cm³

Unit cell a=5.4815 b=5.4682 c=8.3268 alpha=90.00 beta=71.04 gamma=60.16
Last column: nearest neighbours and their distance in Å.
Positions (direct):
Na 0.4082 0.7955 0.3892  4 Tl 3.21-3.51, 2 Na 3.58-3.59
Na 0.5918 0.2045 0.6108  4 Tl 3.21-3.51, 2 Na 3.58-3.59
Tl 0.8673 0.0654 0.1954  1 Tl 3.02, 3 Ca 3.20-3.21, 1 Na 3.21
Tl 0.1327 0.9346 0.8046  1 Tl 3.02, 3 Ca 3.20-3.21, 1 Na 3.21
Ca 0.2461 0.3764 0.1293  3 Tl 3.20-3.21
Ca 0.7539 0.6236 0.8707  3 Tl 3.20-3.21

=====

A (0.020 eV/atom below the next structure)

=====

## A
NaCa4Tl: optimized geometry, GGA-PBE.

Values from the calculation:
Total magnetic moment   0.0 μB per formula unit
Mass density   2.9 g/cm³

Unit cell a=3.8489 b=3.8489 c=14.9401 alpha=90.00 beta=90.00 gamma=90.00
Last column: nearest neighbours and their distance in Å.
Positions (direct):
Ca 0.5000 0.5000 0.1308  4 Tl 3.35
Ca 0.0000 0.0000 0.6782  4 Na 3.81, 8 Ca 3.85-3.94
Ca 0.5000 0.5000 0.8692  4 Tl 3.35
Ca 0.0000 0.0000 0.3218  4 Na 3.81, 8 Ca 3.85-3.94
Tl 0.0000 0.0000 0.0000  8 Ca 3.35
Na 0.5000 0.5000 0.5000  8 Ca 3.81, 4 Na 3.85

=====

## B
NaCa4Tl: optimized geometry, GGA-PBE.

Values from the calculation:
Total magnetic moment   0.0 μB per formula unit
Mass density   2.6 g/cm³

Unit cell a=5.5677 b=5.5703 c=9.7221 alpha=73.31 beta=73.36 gamma=60.02
Last column: nearest neighbours and their distance in Å.
Positions (direct):
Ca 0.8862 0.8866 0.3409  1 Tl 3.13
Ca 0.3633 0.3637 0.9096  3 Tl 3.32, 3 Ca 3.62
Ca 0.1138 0.1134 0.6591  1 Tl 3.13
Ca 0.6367 0.6363 0.0904  3 Tl 3.32, 3 Ca 3.62
Tl 0.0000 0.0000 0.0000  8 Ca 3.13-3.32
Na 0.5000 0.5000 0.5000  8 Ca 3.53-3.76

=====

A (0.141 eV/atom below the next structure)

=====

## A
NaCa2Tl: optimized geometry, GGA-PBE.

Values from the calculation:
Total magnetic moment   0.0 μB per formula unit
Mass density   3.3 g/cm³

Unit cell a=3.7456 b=3.7456 c=13.0061 alpha=81.72 beta=81.72 gamma=60.00
Last column: nearest neighbours and their distance in Å.
Positions (direct):
Tl 0.0000 0.0000 0.0000  2 Ca 3.23
Ca 0.9160 0.9160 0.2519  1 Tl 3.23
Ca 0.0840 0.0840 0.7481  1 Tl 3.23
Na 0.5000 0.5000 0.5000  6 Na 3.75, 6 Ca 3.85

=====

## B
NaCa2Tl: optimized geometry, GGA-PBE.

Values from the calculation:
Total magnetic moment   0.0 μB per formula unit
Mass density   4.1 g/cm³

Unit cell a=5.5979 b=5.5979 c=5.5979 alpha=60.00 beta=60.00 gamma=60.00
Last column: nearest neighbours and their distance in Å.
Positions (direct):
Na 0.0000 0.0000 0.0000  8 Ca 3.43
Ca 0.7500 0.7500 0.7500  4 Tl 3.43, 4 Na 3.43
Ca 0.2500 0.2500 0.2500  4 Tl 3.43, 4 Na 3.43
Tl 0.5000 0.5000 0.5000  8 Ca 3.43

=====

B (0.334 eV/atom below the next structure)

=====

## A
NaCa2Tl: optimized geometry, GGA-PBE.

Values from the calculation:
Total magnetic moment   0.0 μB per formula unit
Mass density   3.5 g/cm³

Unit cell a=3.9098 b=3.9098 c=11.2306 alpha=79.98 beta=79.98 gamma=60.00
Last column: nearest neighbours and their distance in Å.
Positions (direct):
Tl 0.6666 0.6666 0.0002  6 Ca 3.29
Ca 0.2609 0.2609 0.2173  3 Tl 3.29
Ca 0.0723 0.0723 0.7830  3 Tl 3.29
Na 0.5002 0.5002 0.4994  6 Ca 3.84-3.85, 6 Na 3.91

=====

## B
NaCa2Tl: optimized geometry, GGA-PBE.

Values from the calculation:
Total magnetic moment   0.0 μB per formula unit
Mass density   4.0 g/cm³

Unit cell a=4.0429 b=5.6175 c=5.6175 alpha=90.00 beta=90.00 gamma=90.00
Last column: nearest neighbours and their distance in Å.
Positions (direct):
Ca 0.0000 0.5000 0.0000  4 Tl 3.46, 4 Na 3.46
Ca 0.0000 0.0000 0.5000  4 Tl 3.46, 4 Na 3.46
Tl 0.5000 0.5000 0.5000  8 Ca 3.46
Na 0.5000 0.0000 0.0000  8 Ca 3.46

=====

## C
NaCa2Tl: optimized geometry, GGA-PBE.

Values from the calculation:
Total magnetic moment   0.0 μB per formula unit
Mass density   3.5 g/cm³

Unit cell a=9.0038 b=9.0038 c=7.3006 alpha=51.93 beta=51.93 gamma=90.00
Last column: nearest neighbours and their distance in Å.
Positions (direct):
Tl 0.0000 0.0000 0.0000  4 Ca 3.14
Tl 0.7500 0.2500 0.5000  4 Ca 3.14
Ca 0.0973 0.6250 0.2500  2 Tl 3.14, 2 Na 3.48
Ca 0.6527 0.1250 0.2500  2 Tl 3.14, 2 Na 3.48
Ca 0.3750 0.3473 0.7500  2 Tl 3.14, 2 Na 3.48
Ca 0.8750 0.9027 0.7500  2 Tl 3.14, 2 Na 3.48
Na 0.5000 0.5000 0.0000  4 Ca 3.48, 2 Tl 3.57
Na 0.2500 0.7500 0.5000  4 Ca 3.48, 2 Tl 3.57

=====

## D
NaCa2Tl: optimized geometry, GGA-PBE.

Values from the calculation:
Total magnetic moment   0.0 μB per formula unit
Mass density   3.7 g/cm³

Unit cell a=3.9265 b=3.9265 c=8.8362 alpha=90.00 beta=90.00 gamma=90.00
Last column: nearest neighbours and their distance in Å.
Positions (direct):
Ca 0.0000 0.0000 0.7903  4 Tl 3.34, 1 Ca 3.71
Ca 0.0000 0.0000 0.2097  4 Tl 3.34, 1 Ca 3.71
Tl 0.5000 0.5000 0.0000  8 Ca 3.34
Na 0.5000 0.5000 0.5000  8 Ca 3.78, 4 Na 3.93

=====

D (0.033 eV/atom below the next structure)

=====

## A
NaCaTl4: optimized geometry, GGA-PBE.

Values from the calculation:
Total magnetic moment   0.0 μB per formula unit
Mass density   8.3 g/cm³

Unit cell a=5.4623 b=5.3373 c=6.5866 alpha=65.91 beta=90.00 gamma=89.98
Last column: nearest neighbours and their distance in Å.
Positions (direct):
Tl 0.0013 0.1695 0.1612  4 Tl 3.32-3.36, 2 Na 3.34, 2 Ca 3.39
Tl 0.5013 0.6725 0.1551  4 Tl 3.28-3.36, 2 Ca 3.36-3.37, 2 Na 3.41
Tl 0.0013 0.8340 0.8298  4 Tl 3.32-3.36, 2 Na 3.34, 2 Ca 3.39
Tl 0.5013 0.3315 0.8356  4 Tl 3.28-3.36, 2 Ca 3.36-3.37, 2 Na 3.41
Na 0.0013 0.5016 0.4956  8 Tl 3.34-3.41
Ca 0.5014 0.0020 0.4954  8 Tl 3.36-3.39

=====

## B
NaCaTl4: optimized geometry, GGA-PBE.

Values from the calculation:
Total magnetic moment   0.0 μB per formula unit
Mass density   8.2 g/cm³

Unit cell a=3.6501 b=6.3693 c=9.1935 alpha=91.31 beta=89.16 gamma=123.70
Last column: nearest neighbours and their distance in Å.
Positions (direct):
Na 0.0002 0.9971 0.4987  8 Tl 3.35-3.72, 2 Na 3.65
Tl 0.3891 0.9971 0.1660  3 Tl 3.16-3.18, 1 Na 3.35, 2 Ca 3.39
Tl 0.8955 0.4974 0.6634  3 Tl 3.14-3.18, 1 Ca 3.37, 2 Na 3.38-3.39
Tl 0.6092 0.9976 0.8313  3 Tl 3.16-3.18, 1 Na 3.36, 2 Ca 3.38-3.39
Tl 0.1121 0.4971 0.3319  3 Tl 3.14-3.18, 1 Ca 3.37, 2 Na 3.38-3.39
Ca 0.5017 0.4973 0.9974  8 Tl 3.37-3.73, 2 Ca 3.65

=====

## C
NaCaTl4: optimized geometry, GGA-PBE.

Values from the calculation:
Total magnetic moment   0.0 μB per formula unit
Mass density   7.8 g/cm³

Unit cell a=6.4180 b=6.4180 c=6.4180 alpha=60.00 beta=60.00 gamma=60.00
Last column: nearest neighbours and their distance in Å.
Positions (direct):
Ca 0.2500 0.2500 0.2500  12 Tl 3.76, 4 Na 3.93
Tl 0.6251 0.6251 0.6251  6 Tl 3.21
Tl 0.6251 0.6251 0.1247  6 Tl 3.21
Tl 0.6251 0.1247 0.6251  6 Tl 3.21
Tl 0.1247 0.6251 0.6251  6 Tl 3.21
Na 0.0000 0.0000 0.0000  12 Tl 3.76, 4 Ca 3.93

=====

A (0.030 eV/atom below the next structure)

=====

## A
Na3CaTl6: optimized geometry, GGA-PBE.

Values from the calculation:
Total magnetic moment   0.0 μB per formula unit
Mass density   7.1 g/cm³

Unit cell a=7.5161 b=9.0552 c=9.9328 alpha=90.00 beta=112.23 gamma=90.00
Last column: nearest neighbours and their distance in Å.
Positions (direct):
Tl 0.4830 0.1830 0.3910  5 Tl 3.19-3.57, 2 Ca 3.23-3.25, 2 Na 3.28-3.56
Tl 0.7012 0.4158 0.8920  4 Na 3.18-3.54, 3 Tl 3.29-3.44, 1 Ca 3.31
Tl 0.1908 0.4158 0.8920  4 Na 3.18-3.54, 3 Tl 3.29-3.44, 1 Ca 3.31
Tl 0.7067 0.8565 0.4133  6 Tl 3.22-3.44
Tl 0.2988 0.9158 0.1080  4 Na 3.18-3.54, 3 Tl 3.29-3.44, 1 Ca 3.31
Tl 0.9080 0.1830 0.3910  5 Tl 3.19-3.57, 2 Ca 3.23-3.25, 2 Na 3.28-3.56
Tl 0.2933 0.3565 0.5867  6 Tl 3.22-3.44
Tl 0.9383 0.7281 0.8765  6 Tl 3.29-3.38, 2 Na 3.61
Tl 0.8092 0.9158 0.1080  4 Na 3.18-3.54, 3 Tl 3.29-3.44, 1 Ca 3.31
Tl 0.5170 0.6830 0.6090  5 Tl 3.19-3.57, 2 Ca 3.23-3.25, 2 Na 3.28-3.56
Tl 0.0617 0.2281 0.1235  6 Tl 3.29-3.38, 2 Na 3.61
Tl 0.0920 0.6830 0.6090  5 Tl 3.19-3.57, 2 Ca 3.23-3.25, 2 Na 3.28-3.56
Ca 0.7965 0.4184 0.5930  6 Tl 3.23-3.31
Ca 0.2035 0.9184 0.4070  6 Tl 3.23-3.31
Na 0.1184 0.0508 0.7550  6 Tl 3.47-3.72, 2 Na 3.62-3.86
Na 0.4595 0.7124 0.9190  6 Tl 3.18-3.31
Na 0.6366 0.0508 0.7550  6 Tl 3.47-3.72, 2 Na 3.62-3.86
Na 0.5405 0.2124 0.0810  6 Tl 3.18-3.31
Na 0.3634 0.5508 0.2450  6 Tl 3.47-3.72, 2 Na 3.62-3.86
Na 0.8816 0.5508 0.2450  6 Tl 3.47-3.72, 2 Na 3.62-3.86

=====

## B
Na3CaTl6: optimized geometry, GGA-PBE.

Values from the calculation:
Total magnetic moment   0.0 μB per formula unit
Mass density   6.8 g/cm³

Unit cell a=6.1169 b=8.0899 c=8.0899 alpha=113.87 beta=104.60 gamma=104.60
Last column: nearest neighbours and their distance in Å.
Positions (direct):
Tl 0.1787 0.6354 0.0000  3 Tl 3.03-3.31, 1 Ca 3.15, 2 Na 3.24-3.30
Tl 0.5434 0.3646 0.3646  3 Tl 3.03-3.31, 1 Ca 3.15, 2 Na 3.24-3.30
Tl 0.0346 0.2484 0.0000  5 Tl 3.03-3.37, 1 Ca 3.28
Tl 0.0346 0.0000 0.2484  5 Tl 3.03-3.37, 1 Ca 3.28
Tl 0.1787 0.0000 0.6354  3 Tl 3.03-3.31, 1 Ca 3.15, 2 Na 3.24-3.30
Tl 0.7861 0.7516 0.7516  5 Tl 3.03-3.37, 1 Ca 3.28
Na 0.1365 0.5121 0.5121  7 Tl 3.24-3.60
Na 0.6244 0.0000 0.4879  7 Tl 3.24-3.60
Na 0.6244 0.4879 0.0000  7 Tl 3.24-3.60
Ca 0.5194 0.0000 0.0000  6 Tl 3.15-3.28

=====

A (0.036 eV/atom below the next structure)